{
  "formula": "Ca2CdWO6",
  "functional": "PBE+U",
  "state": "relaxed",
  "magnetic_moment_mub_per_cell": 0.1,
  "dft_energy_ev_per_fu": -63.37,
  "crystal_system": "tetragonal",
  "lattice": [[-4.5752, -2.3943, -0.7267], [2.2764, -4.7800, 1.4173], [-1.3169, 0.9263, 5.2390]],
  "species": ["Ca", "O", "Ca", "O", "Cd", "O", "O", "O", "W", "O"],
  "frac_coords": [[0.9886, 0.0000, 0.5000], [0.2575, 0.0000, 0.0000], [0.9886, 0.5000, 0.0000], [0.7313, 0.2317, 0.7683], [0.5395, 0.5000, 0.5000], [0.7313, 0.7683, 0.7683], [0.1384, 0.5000, 0.5000], [0.7313, 0.7683, 0.2317], [0.6088, 0.0000, 0.0000], [0.7313, 0.2317, 0.2317]]
}